DFT (PBE with a Hubbard U) results for a geometry-optimized CdCuNiF6 structure.

The structure belongs to space group P4_2nm (No. 102); the cell edges are 5.1354, 5.1354 and 9.4210 Å and the angles 90.00°, 90.00° and 90.00°. Symmetry generates all atoms from Cd at (0.0000, 0.0000, 0.0000), Cu at (0.0000, 0.0000, 0.6618), Ni at (0.0000, 0.0000, 0.3342), F at (0.1756, 0.1756, 0.5000), F at (0.1863, 0.1863, 0.8115) and F at (0.1879, 0.1879, 0.1854).

For the total energy, the calculation gives -35.4 eV/f.u.